No. 1
Entry from the Alexandria database: Ag3Mo after structural relaxation (PBE-GGA).

Properties
E_form = 1.419 eV/f.u.
Fermi-level density of states = 4.38 states/eV/f.u.
Crystal system = trigonal
Calculated total energy = -17.966 eV per formula unit

a = 9.923 Å, b = 9.923 Å, c = 9.923 Å
α = 16.52°, β = 16.52°, γ = 16.52°
Fractional coordinates of all 4 atoms:
Ag1 0.000 0.000 0.000
Ag2 0.249 0.249 0.249
Ag3 0.751 0.751 0.751
Mo1 0.500 0.500 0.500

---

No. 2
Entry from the Alexandria database: LaSiTe2 after structural relaxation (PBE-GGA).

Properties
Fermi-level density of states = 1.55 states/eV/f.u.
Crystal system = trigonal
E_form (uncorrected) = -12.37 kcal/mol of atoms
Calculated total energy = -18.780 eV per formula unit

a = 8.122 Å, b = 8.122 Å, c = 8.122 Å
α = 31.96°, β = 31.96°, γ = 31.96°
Fractional coordinates of all 4 atoms:
La1 0.000 0.000 0.000
Si1 0.747 0.747 0.747
Te1 0.255 0.255 0.255
Te2 0.454 0.454 0.454

---

No. 3
Entry from the Alexandria database: CaSn2P2Pt7 after structural relaxation (PBE-GGA).

Properties
E_form = -6.946 eV/f.u.
Fermi-level density of states = 4.10 states/eV/f.u.
Crystal system = monoclinic
Calculated total energy = -70.059 eV per formula unit

a = 3.934 Å, b = 3.934 Å, c = 15.282 Å
α = 97.35°, β = 97.35°, γ = 89.97°
Fractional coordinates of all 12 atoms:
Ca1 0.000 0.000 0.000
Sn1 0.212 0.212 0.425
Sn2 0.788 0.788 0.575
P1 0.383 0.383 0.765
P2 0.617 0.617 0.235
Pt1 0.075 0.575 0.150
Pt2 0.306 0.306 0.611
Pt3 0.425 0.925 0.850
Pt4 0.500 0.500 0.000
Pt5 0.575 0.075 0.150
Pt6 0.694 0.694 0.389
Pt7 0.925 0.425 0.850

---

No. 4
Entry from the Alexandria database: Cu4Hg3 after structural relaxation (PBE-GGA).

Properties
E_form = 2.560 eV/f.u.
Fermi-level density of states = 2.52 states/eV/f.u.
Crystal system = cubic
Calculated total energy = -14.731 eV per formula unit

a = 5.260 Å, b = 5.260 Å, c = 5.260 Å
α = 90.00°, β = 90.00°, γ = 90.00°
Fractional coordinates of all 7 atoms:
Cu1 0.163 0.163 0.837
Cu2 0.163 0.837 0.163
Cu3 0.837 0.163 0.163
Cu4 0.837 0.837 0.837
Hg1 0.000 0.500 0.500
Hg2 0.500 0.000 0.500
Hg3 0.500 0.500 0.000

---

No. 5
Entry from the Alexandria database: Nd4MgPt after structural relaxation (PBE-GGA).

Properties
E_form = -2.773 eV/f.u.
Fermi-level density of states = 5.47 states/eV/f.u.
Crystal system = cubic
Calculated total energy = -29.479 eV per formula unit

a = 10.091 Å, b = 10.091 Å, c = 10.091 Å
α = 60.00°, β = 60.00°, γ = 60.00°
Fractional coordinates of all 24 atoms:
Nd1 0.185 0.185 0.815
Nd2 0.185 0.815 0.185
Nd3 0.185 0.815 0.815
Nd4 0.402 0.402 0.402
Nd5 0.402 0.402 0.795
Nd6 0.402 0.795 0.402
Nd7 0.559 0.559 0.941
Nd8 0.559 0.941 0.559
Nd9 0.559 0.941 0.941
Nd10 0.795 0.402 0.402
Nd11 0.815 0.185 0.185
Nd12 0.815 0.185 0.815
Nd13 0.815 0.815 0.185
Nd14 0.941 0.559 0.559
Nd15 0.941 0.559 0.941
Nd16 0.941 0.941 0.559
Mg1 0.171 0.171 0.171
Mg2 0.171 0.171 0.488
Mg3 0.171 0.488 0.171
Mg4 0.488 0.171 0.171
Pt1 0.178 0.607 0.607
Pt2 0.607 0.178 0.607
Pt3 0.607 0.607 0.178
Pt4 0.607 0.607 0.607

---

No. 6
Entry from the Alexandria database: K2Tl after structural relaxation (PBE-GGA).

Properties
E_form = -0.106 eV/f.u.
Fermi-level density of states = 1.76 states/eV/f.u.
Crystal system = monoclinic
Calculated total energy = -4.667 eV per formula unit

a = 7.086 Å, b = 7.086 Å, c = 10.135 Å
α = 101.24°, β = 101.24°, γ = 38.67°
Fractional coordinates of all 6 atoms:
K1 0.000 0.000 0.000
K2 0.083 0.083 0.491
K3 0.378 0.378 0.661
K4 0.770 0.770 0.236
Tl1 0.270 0.270 0.963
Tl2 0.676 0.676 0.779

---

No. 7
Entry from the Alexandria database: Tl2PtW after structural relaxation (PBE-GGA).

Properties
E_form = 2.926 eV/f.u.
Fermi-level density of states = 2.64 states/eV/f.u.
Crystal system = monoclinic
Calculated total energy = -20.801 eV per formula unit

a = 5.081 Å, b = 5.081 Å, c = 5.521 Å
α = 103.30°, β = 103.30°, γ = 34.51°
Fractional coordinates of all 4 atoms:
Tl1 0.246 0.246 0.251
Tl2 0.754 0.754 0.749
Pt1 0.500 0.500 0.000
W1 0.000 0.000 0.500

---

No. 8
Entry from the Alexandria database: LaTaZnTe2 after structural relaxation (PBE-GGA).

Properties
Fermi-level density of states = 3.57 states/eV/f.u.
Crystal system = tetragonal
E_form (uncorrected) = 2.62 kcal/mol of atoms
Calculated total energy = -23.769 eV per formula unit

a = 5.420 Å, b = 5.420 Å, c = 5.611 Å
α = 90.00°, β = 90.00°, γ = 90.00°
Fractional coordinates of all 5 atoms:
La1 0.000 0.000 0.000
Ta1 0.000 0.000 0.500
Zn1 0.500 0.500 0.000
Te1 0.000 0.500 0.500
Te2 0.500 0.000 0.500

---

No. 9
Entry from the Alexandria database: NaCuSb2I after structural relaxation (PBE-GGA).

Properties
Fermi-level density of states = 3.62 states/eV/f.u.
Crystal system = tetragonal
E_form (uncorrected) = 1.59 kcal/mol of atoms
Calculated total energy = -14.865 eV per formula unit

a = 4.876 Å, b = 4.876 Å, c = 8.328 Å
α = 90.00°, β = 90.00°, γ = 90.00°
Fractional coordinates of all 5 atoms:
Na1 0.000 0.000 0.000
Cu1 0.500 0.500 0.500
Sb1 0.000 0.500 0.500
Sb2 0.500 0.000 0.500
I1 0.500 0.500 0.000

---

No. 10
Entry from the Alexandria database: Ca5CdHg6 after structural relaxation (PBE-GGA).

Properties
E_form = -5.792 eV/f.u.
Fermi-level density of states = 7.30 states/eV/f.u.
Crystal system = monoclinic
Calculated total energy = -18.525 eV per formula unit

a = 9.183 Å, b = 9.183 Å, c = 5.253 Å
α = 106.54°, β = 106.54°, γ = 119.39°
Fractional coordinates of all 12 atoms:
Ca1 0.000 0.000 0.000
Ca2 0.169 0.831 0.500
Ca3 0.340 0.660 0.000
Ca4 0.660 0.340 0.000
Ca5 0.831 0.169 0.500
Cd1 0.500 0.500 0.500
Hg1 0.080 0.415 0.249
Hg2 0.243 0.243 0.742
Hg3 0.415 0.080 0.249
Hg4 0.585 0.920 0.751
Hg5 0.757 0.757 0.258
Hg6 0.920 0.585 0.751

---

No. 11
Entry from the Alexandria database: Li2BiHPd after structural relaxation (PBE-GGA).

Properties
Fermi-level density of states = 1.97 states/eV/f.u.
Crystal system = tetragonal
Calculated total energy = -17.355 eV per formula unit

a = 4.134 Å, b = 4.134 Å, c = 4.459 Å
α = 90.00°, β = 90.00°, γ = 90.00°
Fractional coordinates of all 5 atoms:
Li1 0.000 0.500 0.000
Li2 0.500 0.000 0.000
Bi1 0.000 0.000 0.500
H1 0.000 0.000 0.000
Pd1 0.500 0.500 0.500

---

No. 12
Entry from the Alexandria database: Mo2RhW after structural relaxation (PBE-GGA).

Properties
E_form = 0.345 eV/f.u.
Fermi-level density of states = 5.02 states/eV/f.u.
Crystal system = tetragonal
Calculated total energy = -41.622 eV per formula unit

a = 3.940 Å, b = 3.940 Å, c = 4.001 Å
α = 90.00°, β = 90.00°, γ = 90.00°
Fractional coordinates of all 4 atoms:
Mo1 0.000 0.500 0.000
Mo2 0.500 0.000 0.000
Rh1 0.000 0.000 0.500
W1 0.500 0.500 0.500

---

No. 13
Entry from the Alexandria database: Dy5Tm2Mg after structural relaxation (PBE-GGA).

Properties
E_form = 0.187 eV/f.u.
Fermi-level density of states = 8.23 states/eV/f.u.
Crystal system = tetragonal
Calculated total energy = -33.361 eV per formula unit

a = 6.968 Å, b = 6.968 Å, c = 6.968 Å
α = 119.68°, β = 119.68°, γ = 90.55°
Fractional coordinates of all 8 atoms:
Dy1 0.000 0.000 0.000
Dy2 0.000 0.000 0.500
Dy3 0.000 0.500 0.000
Dy4 0.500 0.000 0.000
Dy5 0.500 0.500 0.500
Tm1 0.000 0.500 0.500
Tm2 0.500 0.000 0.500
Mg1 0.500 0.500 0.000

---

No. 14
Entry from the Alexandria database: Ca2YMn after structural relaxation (PBE-GGA).

Properties
E_form = 1.789 eV/f.u.
Fermi-level density of states = 5.92 states/eV/f.u.
Crystal system = monoclinic
Calculated total energy = -17.848 eV per formula unit

a = 6.692 Å, b = 6.692 Å, c = 3.484 Å
α = 102.07°, β = 102.07°, γ = 119.41°
Fractional coordinates of all 4 atoms:
Ca1 0.000 0.500 0.000
Ca2 0.500 0.000 0.000
Y1 0.000 0.000 0.500
Mn1 0.500 0.500 0.500

---

No. 15
Entry from the Alexandria database: AgBiN3 after structural relaxation (PBE-GGA).

Properties
Fermi-level density of states = 4.02 states/eV/f.u.
Crystal system = cubic
E_form (uncorrected) = 47.38 kcal/mol of atoms
Calculated total energy = -21.435 eV per formula unit

a = 4.109 Å, b = 4.109 Å, c = 4.109 Å
α = 90.00°, β = 90.00°, γ = 90.00°
Fractional coordinates of all 5 atoms:
Ag1 0.000 0.000 0.000
Bi1 0.500 0.500 0.500
N1 0.000 0.000 0.500
N2 0.000 0.500 0.000
N3 0.500 0.000 0.000

---

No. 16
Entry from the Alexandria database: Pr3Hg4Au4 after structural relaxation (PBE-GGA).

Properties
E_form = -5.585 eV/f.u.
Fermi-level density of states = 5.87 states/eV/f.u.
Crystal system = triclinic
Calculated total energy = -34.240 eV per formula unit

a = 3.619 Å, b = 4.776 Å, c = 15.806 Å
α = 98.67°, β = 96.45°, γ = 90.01°
Fractional coordinates of all 11 atoms:
Pr1 0.000 0.000 0.000
Pr2 0.140 0.641 0.281
Pr3 0.860 0.359 0.719
Hg1 0.263 0.264 0.528
Hg2 0.408 0.907 0.815
Hg3 0.592 0.093 0.185
Hg4 0.737 0.736 0.472
Au1 0.319 0.817 0.634
Au2 0.455 0.454 0.910
Au3 0.545 0.546 0.090
Au4 0.681 0.183 0.366

---

No. 17
Entry from the Alexandria database: Ga3CO after structural relaxation (PBE-GGA).

Properties
Fermi-level density of states = 3.15 states/eV/f.u.
Crystal system = cubic
E_form (uncorrected) = 15.54 kcal/mol of atoms
Calculated total energy = -19.894 eV per formula unit

a = 4.231 Å, b = 4.231 Å, c = 4.231 Å
α = 90.00°, β = 90.00°, γ = 90.00°
Fractional coordinates of all 5 atoms:
Ga1 0.000 0.000 0.500
Ga2 0.000 0.500 0.000
Ga3 0.500 0.000 0.000
C1 0.000 0.000 0.000
O1 0.500 0.500 0.500

---

No. 18
Entry from the Alexandria database: LaHoTm2 after structural relaxation (PBE-GGA).

Properties
E_form = 0.405 eV/f.u.
Fermi-level density of states = 5.72 states/eV/f.u.
Crystal system = cubic
Calculated total energy = -18.044 eV per formula unit

a = 5.687 Å, b = 5.687 Å, c = 5.687 Å
α = 60.00°, β = 60.00°, γ = 60.00°
Fractional coordinates of all 4 atoms:
La1 0.000 0.000 0.000
Ho1 0.500 0.500 0.500
Tm1 0.250 0.250 0.250
Tm2 0.750 0.750 0.750

---

No. 19
Entry from the Alexandria database: SbP5 after structural relaxation (PBE-GGA).

Properties
Fermi-level density of states = 2.08 states/eV/f.u.
Crystal system = orthorhombic
E_form (uncorrected) = 6.10 kcal/mol of atoms
Calculated total energy = -29.584 eV per formula unit

a = 4.940 Å, b = 6.935 Å, c = 6.935 Å
α = 28.51°, β = 90.00°, γ = 90.00°
Fractional coordinates of all 6 atoms:
Sb1 0.000 0.000 0.000
P1 0.000 0.303 0.303
P2 0.000 0.689 0.689
P3 0.500 0.065 0.065
P4 0.500 0.311 0.311
P5 0.500 0.689 0.689

---

No. 20
Entry from the Alexandria database: BeCdN2O after structural relaxation (PBE-GGA).

Properties
Fermi-level density of states = 1.78 states/eV/f.u.
Crystal system = tetragonal
E_form (uncorrected) = 14.64 kcal/mol of atoms
Calculated total energy = -23.076 eV per formula unit

a = 3.351 Å, b = 3.351 Å, c = 4.643 Å
α = 90.00°, β = 90.00°, γ = 90.00°
Fractional coordinates of all 5 atoms:
Be1 0.000 0.000 0.000
Cd1 0.500 0.500 0.500
N1 0.000 0.500 0.000
N2 0.500 0.000 0.000
O1 0.000 0.000 0.500